# Sr3TlFe | Alexandria | SCAN | single point on PBEsol structure
data_Sr3TlFe
_chemical_formula_sum 'Sr3 Tl1 Fe1'
_cell_length_a 6.195
_cell_length_b 6.195
_cell_length_c 6.195
_cell_angle_alpha 90.00
_cell_angle_beta 90.00
_cell_angle_gamma 90.00
_symmetry_space_group_name_H-M 'P m -3 m'
_symmetry_Int_Tables_number 221
_symmetry_space_group_name_Hall '-P 4 2 3'
loop_
_atom_site_label
_atom_site_type_symbol
_atom_site_fract_x
_atom_site_fract_y
_atom_site_fract_z
_atom_site_occupancy
Sr1 Sr 0.000 0.000 0.500 1
Tl1 Tl 0.000 0.000 0.000 1
Fe1 Fe 0.500 0.500 0.500 1
# Size of the total moment (μB/f.u.): 2.9
# Energy of formation from the pure elements (eV per atom): 0.45
# Volume (A^3/atom): 47.5